# 1
# LiCuPdPb | Alexandria via LeMat-Bulk | GGA-PBE | optimized geometry
data_LiCuPdPb
_cell_length_a 6.468
_cell_length_b 6.468
_cell_length_c 6.468
_cell_angle_alpha 90.00
_cell_angle_beta 90.00
_cell_angle_gamma 90.00
_space_group_name_H-M_alt 'F -4 3 m'
_space_group_IT_number 216
_space_group_name_Hall 'F -4 2 3'
loop_
_atom_site_label
_atom_site_type_symbol
_atom_site_fract_x
_atom_site_fract_y
_atom_site_fract_z
Li1 Li 0.000 0.000 0.000
Cu1 Cu 0.250 0.250 0.750
Pd1 Pd 0.250 0.250 0.250
Pb1 Pb 0.000 0.000 0.500
# - calculated volume (Å³ per cell) = 270.6
# - energy (eV/atom) = -3.91
# - total magnetic moment (μB per cell) = 0.00
# - ΔH_f (0 K) (eV/atom) = -0.18



# 2
# LiPmCuPb | Alexandria via LeMat-Bulk | GGA-PBE | optimized geometry
data_LiPmCuPb
_cell_length_a 6.905
_cell_length_b 6.905
_cell_length_c 6.905
_cell_angle_alpha 90.00
_cell_angle_beta 90.00
_cell_angle_gamma 90.00
_space_group_name_H-M_alt 'F -4 3 m'
_space_group_IT_number 216
_space_group_name_Hall 'F -4 2 3'
loop_
_atom_site_label
_atom_site_type_symbol
_atom_site_fract_x
_atom_site_fract_y
_atom_site_fract_z
Li1 Li 0.000 0.000 0.000
Pm1 Pm 0.250 0.250 0.250
Cu1 Cu 0.000 0.000 0.500
Pb1 Pb 0.250 0.250 0.750
# - calculated volume (Å³ per cell) = 329.2
# - energy (eV/atom) = -3.90
# - total magnetic moment (μB per cell) = 0.00
# - ΔH_f (0 K) (eV/atom) = -0.28



# 3
# LiPrCuPb | Alexandria via LeMat-Bulk | GGA-PBE | optimized geometry
data_LiPrCuPb
_cell_length_a 6.971
_cell_length_b 6.971
_cell_length_c 6.971
_cell_angle_alpha 90.00
_cell_angle_beta 90.00
_cell_angle_gamma 90.00
_space_group_name_H-M_alt 'F -4 3 m'
_space_group_IT_number 216
_space_group_name_Hall 'F -4 2 3'
loop_
_atom_site_label
_atom_site_type_symbol
_atom_site_fract_x
_atom_site_fract_y
_atom_site_fract_z
Li1 Li 0.000 0.000 0.000
Pr1 Pr 0.250 0.250 0.250
Cu1 Cu 0.000 0.000 0.500
Pb1 Pb 0.250 0.250 0.750
# - calculated volume (Å³ per cell) = 338.8
# - energy (eV/atom) = -3.91
# - total magnetic moment (μB per cell) = 0.00
# - ΔH_f (0 K) (eV/atom) = -0.28



# 4
# LiCuPtPb | Alexandria via LeMat-Bulk | GGA-PBE | optimized geometry
data_LiCuPtPb
_cell_length_a 6.455
_cell_length_b 6.455
_cell_length_c 6.455
_cell_angle_alpha 90.00
_cell_angle_beta 90.00
_cell_angle_gamma 90.00
_space_group_name_H-M_alt 'F -4 3 m'
_space_group_IT_number 216
_space_group_name_Hall 'F -4 2 3'
loop_
_atom_site_label
_atom_site_type_symbol
_atom_site_fract_x
_atom_site_fract_y
_atom_site_fract_z
Li1 Li 0.000 0.000 0.000
Cu1 Cu 0.250 0.250 0.750
Pt1 Pt 0.000 0.000 0.500
Pb1 Pb 0.250 0.250 0.250
# - calculated volume (Å³ per cell) = 268.9
# - energy (eV/atom) = -4.16
# - total magnetic moment (μB per cell) = 0.00
# - ΔH_f (0 K) (eV/atom) = -0.22



# 5
# LiCuPbS2 | Alexandria via LeMat-Bulk | GGA-PBE | optimized geometry
data_LiCuPbS2
_cell_length_a 6.707
_cell_length_b 4.647
_cell_length_c 7.133
_cell_angle_alpha 90.00
_cell_angle_beta 102.00
_cell_angle_gamma 90.00
_space_group_name_H-M_alt 'P 1 2/c 1'
_space_group_IT_number 13
_space_group_name_Hall '-P 2yc'
loop_
_atom_site_label
_atom_site_type_symbol
_atom_site_fract_x
_atom_site_fract_y
_atom_site_fract_z
Li1 Li 0.000 0.010 0.250
Cu1 Cu 0.000 0.500 0.000
Pb1 Pb 0.500 0.331 0.750
S1 S 0.250 0.207 0.044
# - calculated volume (Å³ per cell) = 217.5
# - energy (eV/atom) = -4.20
# - total magnetic moment (μB per cell) = 0.00
# - energy relative to the elements, uncorrected (eV/atom) = -0.607



# 6
# Li2CuSbPb | Alexandria via LeMat-Bulk | GGA-PBE | optimized geometry
data_Li2CuSbPb
_cell_length_a 5.090
_cell_length_b 5.090
_cell_length_c 5.797
_cell_angle_alpha 90.00
_cell_angle_beta 90.00
_cell_angle_gamma 90.00
_space_group_name_H-M_alt 'P 4/m m m'
_space_group_IT_number 123
_space_group_name_Hall '-P 4 2'
loop_
_atom_site_label
_atom_site_type_symbol
_atom_site_fract_x
_atom_site_fract_y
_atom_site_fract_z
Li1 Li 0.000 0.500 0.000
Cu1 Cu 0.000 0.000 0.500
Sb1 Sb 0.500 0.500 0.500
Pb1 Pb 0.500 0.500 0.000
# - calculated volume (Å³ per cell) = 150.2
# - energy (eV/atom) = -2.53
# - total magnetic moment (μB per cell) = 0.00
# - energy relative to the elements, uncorrected (eV/atom) = 0.625



# 7
# LiCuSiPb2 | Alexandria via LeMat-Bulk | GGA-PBE | optimized geometry
data_LiCuSiPb2
_cell_length_a 5.578
_cell_length_b 5.578
_cell_length_c 4.387
_cell_angle_alpha 90.00
_cell_angle_beta 90.00
_cell_angle_gamma 90.00
_space_group_name_H-M_alt 'P 4/m m m'
_space_group_IT_number 123
_space_group_name_Hall '-P 4 2'
loop_
_atom_site_label
_atom_site_type_symbol
_atom_site_fract_x
_atom_site_fract_y
_atom_site_fract_z
Li1 Li 0.000 0.000 0.000
Cu1 Cu 0.500 0.500 0.000
Si1 Si 0.500 0.500 0.500
Pb1 Pb 0.000 0.500 0.500
# - calculated volume (Å³ per cell) = 136.5
# - energy (eV/atom) = -3.43
# - total magnetic moment (μB per cell) = 0.00
# - energy relative to the elements, uncorrected (eV/atom) = 0.339



# 8
# LiSmCuPb | Alexandria via LeMat-Bulk | GGA-PBE | optimized geometry
data_LiSmCuPb
_cell_length_a 6.884
_cell_length_b 6.884
_cell_length_c 6.884
_cell_angle_alpha 90.00
_cell_angle_beta 90.00
_cell_angle_gamma 90.00
_space_group_name_H-M_alt 'F -4 3 m'
_space_group_IT_number 216
_space_group_name_Hall 'F -4 2 3'
loop_
_atom_site_label
_atom_site_type_symbol
_atom_site_fract_x
_atom_site_fract_y
_atom_site_fract_z
Li1 Li 0.000 0.000 0.000
Sm1 Sm 0.250 0.250 0.250
Cu1 Cu 0.000 0.000 0.500
Pb1 Pb 0.250 0.250 0.750
# - calculated volume (Å³ per cell) = 326.2
# - energy (eV/atom) = -3.88
# - total magnetic moment (μB per cell) = 0.00
# - ΔH_f (0 K) (eV/atom) = -0.27



# 9
# LiTbCuPb | Alexandria via LeMat-Bulk | GGA-PBE | optimized geometry
data_LiTbCuPb
_cell_length_a 6.819
_cell_length_b 6.819
_cell_length_c 6.819
_cell_angle_alpha 90.00
_cell_angle_beta 90.00
_cell_angle_gamma 90.00
_space_group_name_H-M_alt 'F -4 3 m'
_space_group_IT_number 216
_space_group_name_Hall 'F -4 2 3'
loop_
_atom_site_label
_atom_site_type_symbol
_atom_site_fract_x
_atom_site_fract_y
_atom_site_fract_z
Li1 Li 0.000 0.000 0.000
Tb1 Tb 0.250 0.250 0.250
Cu1 Cu 0.000 0.000 0.500
Pb1 Pb 0.250 0.250 0.750
# - calculated volume (Å³ per cell) = 317.1
# - energy (eV/atom) = -3.84
# - total magnetic moment (μB per cell) = 0.00
# - ΔH_f (0 K) (eV/atom) = -0.25



# 10
# LiThCuPb | Alexandria via LeMat-Bulk | GGA-PBE | optimized geometry
data_LiThCuPb
_cell_length_a 6.981
_cell_length_b 6.981
_cell_length_c 6.981
_cell_angle_alpha 90.00
_cell_angle_beta 90.00
_cell_angle_gamma 90.00
_space_group_name_H-M_alt 'F -4 3 m'
_space_group_IT_number 216
_space_group_name_Hall 'F -4 2 3'
loop_
_atom_site_label
_atom_site_type_symbol
_atom_site_fract_x
_atom_site_fract_y
_atom_site_fract_z
Li1 Li 0.000 0.000 0.000
Th1 Th 0.250 0.250 0.250
Cu1 Cu 0.000 0.000 0.500
Pb1 Pb 0.250 0.250 0.750
# - calculated volume (Å³ per cell) = 340.3
# - energy (eV/atom) = -4.38
# - total magnetic moment (μB per cell) = 0.00
# - ΔH_f (0 K) (eV/atom) = -0.10



# 11
# LiTiCuPb | Alexandria via LeMat-Bulk | GGA-PBE | optimized geometry
data_LiTiCuPb
_cell_length_a 6.534
_cell_length_b 6.534
_cell_length_c 6.534
_cell_angle_alpha 90.00
_cell_angle_beta 90.00
_cell_angle_gamma 90.00
_space_group_name_H-M_alt 'F -4 3 m'
_space_group_IT_number 216
_space_group_name_Hall 'F -4 2 3'
loop_
_atom_site_label
_atom_site_type_symbol
_atom_site_fract_x
_atom_site_fract_y
_atom_site_fract_z
Li1 Li 0.000 0.000 0.000
Ti1 Ti 0.000 0.000 0.500
Cu1 Cu 0.250 0.250 0.250
Pb1 Pb 0.250 0.250 0.750
# - calculated volume (Å³ per cell) = 278.9
# - energy (eV/atom) = -4.39
# - total magnetic moment (μB per cell) = 0.00
# - ΔH_f (0 K) (eV/atom) = 0.02



# 12
# LiTlCuPb2 | Alexandria via LeMat-Bulk | GGA-PBE | optimized geometry
data_LiTlCuPb2
_cell_length_a 5.210
_cell_length_b 5.210
_cell_length_c 4.717
_cell_angle_alpha 90.00
_cell_angle_beta 90.00
_cell_angle_gamma 90.00
_space_group_name_H-M_alt 'P 4/m m m'
_space_group_IT_number 123
_space_group_name_Hall '-P 4 2'
loop_
_atom_site_label
_atom_site_type_symbol
_atom_site_fract_x
_atom_site_fract_y
_atom_site_fract_z
Li1 Li 0.000 0.000 0.000
Tl1 Tl 0.500 0.500 0.500
Cu1 Cu 0.000 0.000 0.500
Pb1 Pb 0.000 0.500 0.000
# - calculated volume (Å³ per cell) = 128.1
# - energy (eV/atom) = -2.86
# - total magnetic moment (μB per cell) = 0.00
# - ΔH_f (0 K) (eV/atom) = 0.30



What is the formula in the first record?
LiCuPdPb



Which value of calculated volume does entry 11 give?
278.9 Å³ per cell



Among the records above, which one has the lowest energy?
LiTiCuPb



Number 10 is which compound?
LiThCuPb